Entry 1:
This record from Alexandria via LeMat-Bulk describes a geometry-optimized Ho3CuNi structure. The functional is PBE-GGA.

```
10
Lattice="5.013 -3.186 0.000 5.013 3.186 0.000 -3.095 0.000 7.206" Properties=species:S:1:pos:R:3 pbc="T T T"
Ho -0.660 0.000 1.721
Ho 1.022 0.000 4.807
Ho 2.678 0.000 1.034
Ho 4.253 0.000 6.172
Ho 5.909 0.000 2.400
Ho 7.591 0.000 5.486
Cu 3.466 1.247 3.603
Cu 3.466 -1.247 3.603
Ni 5.013 1.233 0.000
Ni 5.013 -1.233 0.000
```

Values from the calculation:
formation energy from the elements = -0.23 eV per atom
theoretical density = 8.90 g/cm³
raw total energy = -0.1821 hartree per atom
total magnetization = 0.00 μB/cell

Entry 2:
This record from Alexandria via LeMat-Bulk describes a geometry-optimized HoCuNi3 structure. The functional is PBE-GGA.

```
10
Lattice="2.257 -8.115 0.000 2.257 8.115 0.000 0.000 0.000 4.440" Properties=species:S:1:pos:R:3 pbc="T T T"
Ho 2.257 6.682 3.330
Ho 2.257 -6.682 1.110
Cu 2.257 2.180 3.330
Cu 2.257 -2.180 1.110
Ni 1.168 3.781 1.110
Ni 1.168 -3.781 3.330
Ni 2.257 0.000 0.000
Ni 2.257 0.000 2.220
Ni 3.346 3.781 1.110
Ni 3.346 -3.781 3.330
```

Values from the calculation:
formation energy from the elements = 0.10 eV per atom
theoretical density = 8.26 g/cm³
raw total energy = -0.1875 hartree per atom
total magnetization = 0.63 μB/cell

Entry 3:
This record from Alexandria via LeMat-Bulk describes a geometry-optimized Ho3Cu3Ni structure. The functional is PBE-GGA.

```
14
Lattice="4.969 -1.908 0.000 4.969 1.908 0.000 -3.987 0.000 14.356" Properties=species:S:1:pos:R:3 pbc="T T T"
Ho -1.301 0.000 5.581
Ho -2.594 0.000 13.247
Ho 1.437 0.000 3.416
Ho 4.513 0.000 10.940
Ho 8.544 0.000 1.109
Ho 7.252 0.000 8.775
Cu 1.582 0.000 6.688
Cu 0.266 0.000 13.253
Cu 1.650 0.000 11.031
Cu 4.301 0.000 3.325
Cu 5.684 0.000 1.103
Cu 4.369 0.000 7.668
Ni 0.215 0.000 8.966
Ni 5.735 0.000 5.390
```

Values from the calculation:
formation energy from the elements = -0.31 eV per atom
theoretical density = 9.08 g/cm³
raw total energy = -0.1784 hartree per atom
total magnetization = 0.00 μB/cell